{"formula": "MnZn2Co", "functional": "GGA-PBEsol", "state": "relaxed", "crystal_system": "tetragonal", "relative_energy_mev_per_atom": 58, "cell": [[3.673, 0.000, 0.000], [0.000, 3.674, 0.000], [-1.836, -1.837, 3.594]], "species": ["Zn", "Zn", "Mn", "Co"], "fractional_positions": [[0.250, 0.750, 0.500], [0.000, 0.000, 0.000], [0.750, 0.250, 0.500], [0.500, 0.500, 0.000]]}

=====

{"formula": "CaSnAu3", "functional": "GGA-PBEsol", "state": "relaxed", "crystal_system": "cubic", "total_energy_ev_per_atom": -3.6717, "cell": [[-3.058, 3.552, 2.036], [-2.689, -3.659, 2.344], [3.087, 0.331, 4.059]], "species": ["Au", "Au", "Au", "Sn", "Ca"], "fractional_positions": [[0.500, 0.000, 0.000], [0.000, 0.000, 0.500], [0.000, 0.500, 0.000], [0.000, 0.000, 0.000], [0.500, 0.500, 0.500]]}

=====

{"formula": "Be3Au", "functional": "GGA-PBEsol", "state": "relaxed", "crystal_system": "orthorhombic", "total_energy_ev_per_atom": -4.0929, "cell": [[3.995, 0.000, 0.000], [0.000, 4.255, 0.000], [0.000, 0.000, 4.898]], "species": ["Au", "Au", "Be", "Be", "Be", "Be", "Be", "Be"], "fractional_positions": [[0.500, 0.674, 0.500], [0.000, 0.326, 0.000], [0.000, 0.835, 0.248], [0.500, 0.165, 0.748], [0.000, 0.336, 0.500], [0.500, 0.165, 0.252], [0.000, 0.835, 0.752], [0.500, 0.664, 0.000]]}

=====

{"formula": "Cd2HgRu", "functional": "GGA-PBEsol", "state": "relaxed", "crystal_system": "orthorhombic", "total_energy_ev_per_atom": -2.9855, "cell": [[4.083, 0.000, 0.000], [0.000, 4.053, 0.000], [-2.041, -2.027, 4.313]], "species": ["Cd", "Cd", "Hg", "Ru"], "fractional_positions": [[0.250, 0.750, 0.500], [0.000, 0.000, 0.000], [0.500, 0.500, 0.000], [0.750, 0.250, 0.500]]}